Record 1
The following is a DFT calculation (PBE-GGA) of a relaxed SrBe2Te crystal.

```
4
Lattice="4.464 0.000 0.000 0.000 4.706 0.000 0.000 0.000 4.765" Properties=species:S:1:pos:R:3 pbc="T T T"
Sr 0.000 0.000 0.000
Be 1.100 2.353 2.383
Be 3.364 2.353 2.383
Te 2.232 2.353 0.000
```

Results
Symmetry = No. 47



Record 2
The following is a DFT calculation (PBE-GGA) of a relaxed SrBeTe2 crystal.

```
4
Lattice="2.108 1.217 7.274 -2.108 1.217 7.274 0.000 -2.434 7.274" Properties=species:S:1:pos:R:3 pbc="T T T"
Sr 0.000 0.000 0.000
Be 0.000 0.000 10.910
Te 0.000 0.000 5.045
Te 0.000 0.000 16.775
```

Results
Symmetry = No. 166



Record 3
The following is a DFT calculation (PBE-GGA) of a relaxed SrBeTe crystal.

```
6
Lattice="4.414 0.000 0.000 2.172 4.033 0.000 1.052 0.017 9.608" Properties=species:S:1:pos:R:3 pbc="T T T"
Sr 0.000 0.000 0.000
Sr 3.232 1.316 5.553
Be 2.147 1.803 2.038
Be 4.341 2.152 2.057
Te 3.185 4.006 3.395
Te 5.435 2.716 7.477
```

Results
ΔE to the lowest computed polymorph = 43.5 meV per atom
Symmetry = No. 1



no.,raw formation energy (eV per formula unit),electronic total energy (eV/atom),size of the total moment (μB/cell)
1,0.08,-3.050,0.0
2,-2.49,-3.545,0.0
3,-1.74,-3.429,0.0